Below is a PBEsol-optimized structure of MgTl2As, with properties calculated at the SCAN level.

Computed properties:
Fermi-level density of states in states/eV per cell: 1.568
Formation energy from the elements in meV per atom: 5
Polymorph energy (0 for the lowest one) in meV/atom: 99.1
Crystal system: orthorhombic
Space-group type: No. 65

Unit cell a=4.2664 b=4.2580 c=5.4383 alpha=90.00 beta=90.00 gamma=92.17
With the nearest neighbours (Å) after each atom.
Sites, in units of the cell vectors:
Tl1 0.7549 0.7449 0.0000  4 Tl 2.96-3.13, 2 As 3.11, 2 Mg 3.14
Tl2 0.2451 0.2551 0.0000  4 Tl 2.96-3.13, 2 As 3.11, 2 Mg 3.14
As1 0.0000 0.5000 0.5000  4 Mg 2.96-3.07, 4 Tl 3.11
Mg1 0.5000 0.0000 0.5000  4 As 2.96-3.07, 4 Tl 3.14